1.
The following is a PBE calculation of a relaxed structure of TbPm5Pr5, from Alexandria.

Computed properties:
- D(E_F): 1.54 states/eV per atom
- Magnetic moment: 0.0 μB per formula unit
- Crystal system: triclinic
- E_form: 0.13 eV/atom

a = 7.076 Å, b = 7.088 Å, c = 8.699 Å
α = 75.86°, β = 76.61°, γ = 71.08°
Space group P-1 (No. 2)
Unique sites:
Tb: 0.000 0.000 0.000 [1 per cell]
Pm: 0.147 0.143 0.355 [2 per cell]
Pm: 0.222 0.648 0.285 [2 per cell]
Pm: 0.500 0.000 0.000 [1 per cell]
Pr: 0.000 0.500 0.000 [1 per cell]
Pr: 0.312 0.295 0.644 [2 per cell]
Pr: 0.358 0.760 0.729 [2 per cell]

***

2.
The following is a PBE calculation of a relaxed structure of Tb3Pm8Pr2, from Alexandria.

Computed properties:
- D(E_F): 1.61 states/eV per atom
- Magnetic moment: 0.0 μB per formula unit
- Crystal system: orthorhombic
- E_form: 0.21 eV/atom

a = 7.716 Å, b = 20.855 Å, c = 5.706 Å
α = 90.00°, β = 90.00°, γ = 90.00°
Space group Cmmm (No. 65)
Unique sites:
Tb: 0.000 0.000 0.000 [2 per cell]
Tb: 0.214 0.500 0.500 [4 per cell]
Pm: 0.000 0.130 0.500 [4 per cell]
Pm: 0.000 0.333 0.500 [4 per cell]
Pm: 0.207 0.396 0.000 [8 per cell]
Pr: 0.000 0.240 0.000 [4 per cell]

***

3.
The following is a PBE calculation of a relaxed structure of TbPm2Pr4, from Alexandria.

Computed properties:
- D(E_F): 1.43 states/eV per atom
- Magnetic moment: 0.0 μB per formula unit
- Crystal system: triclinic
- E_form: 0.04 eV/atom

a = 7.221 Å, b = 8.825 Å, c = 9.128 Å
α = 114.31°, β = 101.39°, γ = 101.86°
Space group P1 (No. 1)
Unique sites:
Tb: 0.000 0.000 0.000 [1 per cell]
Tb: 0.108 0.565 0.869 [1 per cell]
Pm: 0.221 0.155 0.732 [1 per cell]
Pm: 0.500 0.000 0.001 [1 per cell]
Pm: 0.580 0.731 0.588 [1 per cell]
Pm: 0.900 0.439 0.156 [1 per cell]
Pr: 0.080 0.733 0.589 [1 per cell]
Pr: 0.192 0.322 0.452 [1 per cell]
Pr: 0.297 0.883 0.311 [1 per cell]
Pr: 0.396 0.440 0.156 [1 per cell]
Pr: 0.610 0.566 0.869 [1 per cell]
Pr: 0.694 0.322 0.450 [1 per cell]
Pr: 0.723 0.154 0.732 [1 per cell]
Pr: 0.799 0.882 0.312 [1 per cell]

***

4.
The following is a PBE calculation of a relaxed structure of Tb2Pm6Pr3, from Alexandria.

Computed properties:
- D(E_F): 1.35 states/eV per atom
- Magnetic moment: 0.0 μB per formula unit
- Crystal system: trigonal
- E_form: 0.01 eV/atom

a = 3.6494 Å, b = 3.6494 Å, c = 98.4294 Å
α = 90.00°, β = 90.00°, γ = 120.00°
Space group R-3m (No. 166, hexagonal axes)
Unique sites:
Tb: 0.0000 0.0000 0.0449 [6 per cell]
Pm: 0.0000 0.0000 0.1360 [6 per cell]
Pm: 0.0000 0.0000 0.3181 [6 per cell]
Pm: 0.0000 0.0000 0.4079 [6 per cell]
Pr: 0.0000 0.0000 0.2280 [6 per cell]
Pr: 0.0000 0.0000 0.5000 [3 per cell]

***

5.
The following is a PBE calculation of a relaxed structure of Tb12Pm2Pr, from Alexandria.

Computed properties:
- D(E_F): 1.58 states/eV per atom
- Magnetic moment: 0.0 μB per formula unit
- Crystal system: orthorhombic
- E_form: 0.16 eV/atom

a = 7.077 Å, b = 11.378 Å, c = 24.906 Å
α = 90.00°, β = 90.00°, γ = 90.00°
Space group Cmme (No. 67)
Unique sites:
Tb: 0.000 0.001 0.080 [8 per cell]
Tb: 0.000 0.016 0.561 [8 per cell]
Tb: 0.237 0.250 0.417 [8 per cell]
Tb: 0.249 0.250 0.870 [8 per cell]
Tb: 0.250 0.000 0.201 [8 per cell]
Tb: 0.250 0.000 0.328 [8 per cell]
Pm: 0.000 0.250 0.267 [4 per cell]
Pm: 0.000 0.250 0.728 [4 per cell]
Pr: 0.000 0.250 0.999 [4 per cell]

***

6.
The following is a PBE calculation of a relaxed structure of Tb12PmPr2, from Alexandria.

Computed properties:
- D(E_F): 1.48 states/eV per atom
- Magnetic moment: 0.0 μB per formula unit
- Crystal system: tetragonal
- E_form: 0.31 eV/atom

a = 6.462 Å, b = 6.462 Å, c = 25.153 Å
α = 90.00°, β = 90.00°, γ = 90.00°
Space group P4/nbm (No. 125, origin choice 2)
Unique sites:
Tb: 0.064 0.564 0.116 [8 per cell]
Tb: 0.082 0.582 0.439 [8 per cell]
Tb: 0.250 0.250 0.216 [4 per cell]
Tb: 0.250 0.250 0.340 [4 per cell]
Pm: 0.250 0.750 0.000 [2 per cell]
Pr: 0.250 0.750 0.271 [4 per cell]